1.
Compound: Mg6CdPb3
Source: Alexandria via LeMat-Bulk
Functional: PBE-GGA
Structure: relaxed

The structure in extended XYZ format:
```
10
Lattice="0.000 5.338 5.338 5.338 0.000 5.338 5.338 5.338 0.000" Properties=species:S:1:pos:R:3 pbc="T T T"
Mg 5.338 5.338 2.605
Mg 5.338 2.605 5.338
Mg 8.070 5.338 5.338
Mg 2.605 5.338 5.338
Mg 5.338 8.070 5.338
Mg 5.338 5.338 8.070
Cd 0.000 0.000 0.000
Pb 2.669 2.669 2.669
Pb 5.338 5.338 5.338
Pb 8.006 8.006 8.006
```

- Energy relative to the lowest polymorph listed for this composition: 3.47 eV/f.u.
- Calculated formation energy: 0.3033 eV/atom
- Symmetry: No. 225
- Total energy: -1.857 eV per atom
- Crystal system: cubic

2.
Compound: AlFeW
Source: Alexandria via LeMat-Bulk
Functional: PBE-GGA
Structure: relaxed

The structure in extended XYZ format:
```
3
Lattice="0.000 2.915 2.915 2.915 0.000 2.915 2.915 2.915 0.000" Properties=species:S:1:pos:R:3 pbc="T T T"
Al 0.000 0.000 0.000
Fe 2.915 2.915 2.915
W 1.458 1.458 1.458
```

- Energy relative to the lowest polymorph listed for this composition: 2.50 eV/f.u.
- Calculated formation energy: 0.6877 eV/atom
- Symmetry: No. 216
- Total energy: -7.698 eV per atom
- Crystal system: cubic

3.
Compound: NaHgPtCl6
Source: Alexandria via LeMat-Bulk
Functional: PBE-GGA
Structure: relaxed

The structure in extended XYZ format:
```
18
Lattice="6.740 0.000 0.000 -3.370 5.837 0.000 0.000 0.000 11.752" Properties=species:S:1:pos:R:3 pbc="T T T"
Na 0.000 3.891 2.938
Na 3.370 1.946 8.814
Hg 0.000 0.000 0.000
Hg 0.000 0.000 5.876
Pt 0.000 3.891 8.814
Pt 3.370 1.946 2.938
Cl -0.947 2.205 7.415
Cl -1.934 3.915 10.213
Cl 0.947 2.205 10.213
Cl -0.987 5.554 7.415
Cl 2.383 0.283 1.539
Cl 1.436 1.922 4.337
Cl 1.934 3.915 7.415
Cl 0.987 5.554 10.213
Cl 4.357 0.283 4.337
Cl 2.423 3.632 1.539
Cl 5.304 1.922 1.539
Cl 4.317 3.632 4.337
```

- Symmetry: No. 163
- Total energy: -2.795 eV per atom
- Crystal system: trigonal
- Formation energy (no corrections): -713 meV per atom

4.
Compound: InTc2Rh
Source: Alexandria via LeMat-Bulk
Functional: PBE-GGA
Structure: relaxed

The structure in extended XYZ format:
```
4
Lattice="2.857 0.000 0.000 0.000 3.844 0.000 0.000 0.000 5.801" Properties=species:S:1:pos:R:3 pbc="T T T"
In 0.000 0.000 0.000
Tc 0.000 0.000 2.944
Tc 1.429 1.922 4.091
Rh 1.429 1.922 1.415
```

- Calculated formation energy: 0.0747 eV/atom
- Symmetry: No. 25
- Total energy: -7.631 eV per atom
- Crystal system: orthorhombic

5.
Compound: AlW2Se
Source: Alexandria via LeMat-Bulk
Functional: PBE-GGA
Structure: relaxed

The structure in extended XYZ format:
```
4
Lattice="1.511 0.872 8.470 -1.511 0.872 8.470 0.000 -1.745 8.470" Properties=species:S:1:pos:R:3 pbc="T T T"
Al 0.000 0.000 0.000
W 0.000 0.000 6.403
W 0.000 0.000 12.646
Se 0.000 0.000 19.255
```

- Energy relative to the lowest polymorph listed for this composition: 0.17 eV/f.u.
- Symmetry: No. 160
- Total energy: -8.119 eV per atom
- Crystal system: trigonal
- Formation energy (no corrections): 164 meV per atom

6.
Compound: Ni4W
Source: Alexandria via LeMat-Bulk
Functional: PBE-GGA
Structure: relaxed

The structure in extended XYZ format:
```
20
Lattice="8.373 0.000 0.000 0.000 8.373 0.000 0.000 0.000 4.194" Properties=species:S:1:pos:R:3 pbc="T T T"
Ni 0.000 0.000 0.993
Ni 0.000 0.000 3.201
Ni 0.897 3.289 2.097
Ni 0.905 6.631 2.097
Ni 1.742 0.905 2.097
Ni 2.445 5.092 2.097
Ni 3.281 2.445 2.097
Ni 3.289 7.476 2.097
Ni 4.187 4.187 0.993
Ni 4.187 4.187 3.201
Ni 5.084 0.897 2.097
Ni 5.092 5.929 2.097
Ni 5.929 3.281 2.097
Ni 6.631 7.468 2.097
Ni 7.468 1.742 2.097
Ni 7.476 5.084 2.097
W 0.873 5.059 0.000
W 3.314 0.873 0.000
W 5.059 7.501 0.000
W 7.501 3.314 0.000
```

- Energy relative to the lowest polymorph listed for this composition: 4.44 eV/f.u.
- Calculated formation energy: 0.7829 eV/atom
- Symmetry: No. 127
- Total energy: -6.433 eV per atom
- Crystal system: tetragonal

Q: total energy of number 5 (AlW2Se)?
A: -8.119 eV per atom

Q: Which of these has the highest total energy?
A: Mg6CdPb3